A relaxed Sr3Li2Ag2Hg4 crystal, computed with PBE.

Properties
ΔE_f: -3.62 eV/f.u.
Total magnetization: 0.0 μB per cell
ρ: 6.812 g cm⁻³

Cell and atoms, written as CIF:
```
data_Sr3Li2Ag2Hg4
_chemical_formula_sum 'Sr3 Li2 Ag2 Hg4'
_cell_length_a 4.9254
_cell_length_b 4.9254
_cell_length_c 15.0242
_cell_angle_alpha 90.00
_cell_angle_beta 90.00
_cell_angle_gamma 120.00
_space_group_name_H-M_alt 'P -3 m 1'
_space_group_IT_number 164
_space_group_name_Hall '-P 3 2"'
loop_
_atom_site_label
_atom_site_fract_x
_atom_site_fract_y
_atom_site_fract_z
Sr1 0.0000 0.0000 0.0000
Sr2 0.0000 0.0000 0.2659
Li1 0.3333 0.6667 0.5672
Ag1 0.3333 0.6667 0.1374
Hg1 0.3333 0.6667 0.3865
Hg2 0.3333 0.6667 0.8649
```

A relaxed K3Ga5Au6 crystal, computed with PBE.

Properties
ΔE_f: -3.66 eV/f.u.
Total magnetization: 0.0 μB per cell
ρ: 8.051 g cm⁻³

Cell and atoms, written as CIF:
```
data_K3Ga5Au6
_chemical_formula_sum 'K6 Ga10 Au12'
_cell_length_a 4.427
_cell_length_b 13.701
_cell_length_c 11.206
_cell_angle_alpha 90.00
_cell_angle_beta 90.00
_cell_angle_gamma 90.00
_space_group_name_H-M_alt 'P m m n'
_space_group_IT_number 59
loop_
_space_group_symop_operation_xyz
'x,y,z'
'-x,-y,-z'
'-x+1/2,-y+1/2,z'
'x+1/2,y+1/2,-z'
'x+1/2,-y,-z'
'-x+1/2,y,z'
'-x,y+1/2,-z'
'x,-y+1/2,z'
loop_
_atom_site_label
_atom_site_fract_x
_atom_site_fract_y
_atom_site_fract_z
K1 0.250 0.106 0.245
K2 0.250 0.750 0.268
Ga1 0.250 0.075 0.852
Ga2 0.250 0.618 0.513
Ga3 0.250 0.750 0.931
Au1 0.250 0.058 0.618
Au2 0.250 0.250 0.498
Au3 0.250 0.250 0.950
Au4 0.250 0.570 0.018
```

A relaxed SmPuBrN2 crystal, computed with PBE.

Properties
Total magnetization: 8.0 μB per cell
Formation energy from raw total energies: -1.4585 eV per atom
ρ: 7.624 g cm⁻³

Cell and atoms, written as CIF:
```
data_SmPuBrN2
_chemical_formula_sum 'Sm2 Pu2 Br2 N4'
_cell_length_a 7.091
_cell_length_b 4.136
_cell_length_c 7.863
_cell_angle_alpha 90.00
_cell_angle_beta 108.41
_cell_angle_gamma 90.00
_space_group_name_H-M_alt 'P 1 21/m 1'
_space_group_IT_number 11
_space_group_name_Hall '-P 2yb'
loop_
_atom_site_label
_atom_site_fract_x
_atom_site_fract_y
_atom_site_fract_z
Sm1 0.158 0.250 0.421
Pu1 0.150 0.250 0.920
Br1 0.472 0.750 0.724
N1 0.001 0.750 0.360
N2 0.036 0.750 0.901
```

A relaxed MgGa6Pt crystal, computed with PBE.

Properties
ΔE_f: -1.80 eV/f.u.
Total magnetization: 0.0 μB per cell
ρ: 7.159 g cm⁻³

Cell and atoms, written as CIF:
```
data_MgGa6Pt
_chemical_formula_sum 'Mg2 Ga12 Pt2'
_cell_length_a 6.491
_cell_length_b 8.744
_cell_length_c 5.563
_cell_angle_alpha 90.00
_cell_angle_beta 110.45
_cell_angle_gamma 90.00
_space_group_name_H-M_alt 'C 1 2/m 1'
_space_group_IT_number 12
_space_group_name_Hall '-C 2y'
loop_
_atom_site_label
_atom_site_fract_x
_atom_site_fract_y
_atom_site_fract_z
Mg1 0.000 0.000 0.000
Ga1 0.074 0.500 0.265
Ga2 0.162 0.254 0.745
Pt1 0.000 0.000 0.500
```

A relaxed La2Pr2Bi3 crystal, computed with PBE.

Properties
ΔE_f: -6.20 eV/f.u.
Total magnetization: 0.0 μB per cell
ρ: 8.316 g cm⁻³

Cell and atoms, written as CIF:
```
data_La2Pr2Bi3
_chemical_formula_sum 'La8 Pr8 Bi12'
_cell_length_a 9.823
_cell_length_b 9.823
_cell_length_c 9.823
_cell_angle_alpha 90.00
_cell_angle_beta 90.00
_cell_angle_gamma 90.00
_space_group_name_H-M_alt 'I 21 3'
_space_group_IT_number 199
_space_group_name_Hall 'I 2b 2c 3'
loop_
_atom_site_label
_atom_site_fract_x
_atom_site_fract_y
_atom_site_fract_z
La1 0.072 0.072 0.072
Pr1 0.180 0.320 0.680
Bi1 0.000 0.250 0.379
```

A relaxed Zr6In5Ga crystal, computed with PBE.

Properties
ΔE_f: -4.13 eV/f.u.
Total magnetization: 0.0 μB per cell
ρ: 7.603 g cm⁻³

Cell and atoms, written as CIF:
```
data_Zr6In5Ga
_chemical_formula_sum 'Zr12 In10 Ga2'
_cell_length_a 4.451
_cell_length_b 8.766
_cell_length_c 13.334
_cell_angle_alpha 90.00
_cell_angle_beta 90.00
_cell_angle_gamma 90.00
_space_group_name_H-M_alt 'I m m m'
_space_group_IT_number 71
_space_group_name_Hall '-I 2 2'
loop_
_atom_site_label
_atom_site_fract_x
_atom_site_fract_y
_atom_site_fract_z
Zr1 0.000 0.231 0.000
Zr2 0.000 0.259 0.335
In1 0.000 0.000 0.173
In2 0.000 0.000 0.500
In3 0.000 0.500 0.160
Ga1 0.000 0.500 0.500
```

Repeat the third record exactly.
A relaxed SmPuBrN2 crystal, computed with PBE.

Properties
Total magnetization: 8.0 μB per cell
Formation energy from raw total energies: -1.4585 eV per atom
ρ: 7.624 g cm⁻³

Cell and atoms, written as CIF:
```
data_SmPuBrN2
_chemical_formula_sum 'Sm2 Pu2 Br2 N4'
_cell_length_a 7.091
_cell_length_b 4.136
_cell_length_c 7.863
_cell_angle_alpha 90.00
_cell_angle_beta 108.41
_cell_angle_gamma 90.00
_space_group_name_H-M_alt 'P 1 21/m 1'
_space_group_IT_number 11
_space_group_name_Hall '-P 2yb'
loop_
_atom_site_label
_atom_site_fract_x
_atom_site_fract_y
_atom_site_fract_z
Sm1 0.158 0.250 0.421
Pu1 0.150 0.250 0.920
Br1 0.472 0.750 0.724
N1 0.001 0.750 0.360
N2 0.036 0.750 0.901
```

Repeat the fifth record exactly.
A relaxed La2Pr2Bi3 crystal, computed with PBE.

Properties
ΔE_f: -6.20 eV/f.u.
Total magnetization: 0.0 μB per cell
ρ: 8.316 g cm⁻³

Cell and atoms, written as CIF:
```
data_La2Pr2Bi3
_chemical_formula_sum 'La8 Pr8 Bi12'
_cell_length_a 9.823
_cell_length_b 9.823
_cell_length_c 9.823
_cell_angle_alpha 90.00
_cell_angle_beta 90.00
_cell_angle_gamma 90.00
_space_group_name_H-M_alt 'I 21 3'
_space_group_IT_number 199
_space_group_name_Hall 'I 2b 2c 3'
loop_
_atom_site_label
_atom_site_fract_x
_atom_site_fract_y
_atom_site_fract_z
La1 0.072 0.072 0.072
Pr1 0.180 0.320 0.680
Bi1 0.000 0.250 0.379
```

> Look up the total magnetization of the sixth one.

0.0 μB per cell

> Which value of ρ does entry 6 give?

7.603 g cm⁻³